Below is a relaxed structure of Ba2PrCu, with properties calculated at the PBE level.

POSCAR file:
```
Ba2PrCu
1.0
-0.1157 3.9922 -0.5444
-3.1604 1.6920 -1.8429
-6.5231 3.1667 9.6856
Pr Ba Cu
1 2 1
direct
0.0000 0.0000 0.0000
0.1064 0.1064 0.6807
0.8936 0.8936 0.3193
0.5000 0.5000 0.5000
```

Computed properties:
VASP energy: -2.822 eV per atom
Density: 4.76 g/cm³
Calculated formation energy: 8.27 kcal/mol of atoms